(1)
Li2ZnSiO | Alexandria | GGA-PBE | optimized geometry; uncorrected energy = -3.06 eV/atom; spin magnetization = 0.0 μB/f.u.
1.0
5.343 0.000 0.000
0.000 3.414 0.000
0.000 0.000 5.343
Li O Zn Si
2 1 1 1
Cartesian
2.672 0.000 0.000
0.000 0.000 2.672
0.000 1.707 0.000
0.000 0.000 0.000
2.672 1.707 2.672

(2)
Li2ZnSiO4 | Alexandria | GGA-PBE | optimized geometry; uncorrected energy = -6.08 eV/atom; spin magnetization = 0.0 μB/f.u.; distance to the lowest polymorph of the same formula = 0 meV per atom
1.0
10.752 0.000 0.000
0.000 5.113 0.002
0.000 5.050 6.338
Li O Zn Si
8 16 4 4
Cartesian
4.564 6.101 4.694
6.188 4.063 1.646
1.757 6.628 6.297
0.812 3.576 1.525
7.133 6.060 3.212
8.995 3.535 0.043
9.940 6.588 4.815
3.619 4.103 3.128
9.786 4.411 1.618
9.025 1.510 0.256
3.649 6.129 2.915
3.655 1.036 0.196
4.409 3.228 1.553
7.103 4.034 3.425
1.721 3.561 3.365
1.727 8.654 6.084
10.149 8.655 4.791
9.031 6.603 2.975
7.097 9.128 6.144
4.772 4.033 4.718
0.604 1.508 1.549
5.980 6.130 1.622
6.343 6.936 4.787
0.967 5.753 4.722
8.984 3.506 3.178
7.144 0.981 0.009
1.768 6.657 3.162
3.608 9.182 6.331
0.948 4.095 4.728
6.324 8.593 4.781
4.428 1.570 1.559
9.804 6.068 1.612

(3)
Li2ZnSiO4 | Alexandria | GGA-PBE | optimized geometry; uncorrected energy = -6.07 eV/atom; spin magnetization = 0.0 μB/f.u.; distance to the lowest polymorph of the same formula = 18 meV per atom
1.0
-0.533 2.509 -3.529
-4.329 -0.406 0.365
2.311 2.530 4.147
O Li Si Zn
4 2 1 1
Cartesian
-3.279 1.221 -0.167
-1.636 2.483 -1.852
-1.145 3.237 1.307
0.958 2.327 2.677
-0.326 3.046 -0.482
-2.224 1.588 1.465
-2.431 1.052 -1.582
0.000 0.000 0.000

(4)
LiSm2O | Alexandria | GGA-PBE | optimized geometry; uncorrected energy = -5.18 eV/atom; spin magnetization = 0.0 μB/f.u.
1.0
-1.024 -0.735 3.323
0.665 -3.199 1.398
7.925 1.742 4.728
Sm Li O
2 1 1
Cartesian
5.097 0.669 3.620
2.469 -2.860 5.830
0.000 0.000 0.000
3.783 -1.096 4.725

(5)
LiSmO3 | Alexandria | GGA-PBE | optimized geometry; uncorrected energy = -6.17 eV/atom; spin magnetization = 2.0 μB/f.u.
1.0
3.732 0.000 0.000
0.000 3.732 0.000
0.000 0.000 3.732
O Sm Li
3 1 1
Cartesian
1.866 1.866 0.000
0.000 1.866 1.866
1.866 0.000 1.866
0.000 0.000 0.000
1.866 1.866 1.866

(6)
LiSm5O8 | Alexandria | GGA-PBE | optimized geometry; uncorrected energy = -7.79 eV/atom; spin magnetization = 0.0 μB/f.u.
1.0
-2.701 -3.584 -4.374
1.967 -3.633 4.713
-4.122 4.176 2.201
Sm Li O
5 1 8
Cartesian
0.167 -0.978 2.021
-3.408 -2.203 1.034
-3.411 0.296 -1.086
-4.800 2.378 1.029
-1.671 -5.279 0.997
-2.783 0.420 2.914
-1.216 -2.940 1.319
-2.994 -2.007 -1.326
-0.887 -1.119 4.177
-3.516 -1.803 3.356
-1.787 -0.253 0.858
-5.471 -0.880 -2.132
1.063 -3.146 2.998
-4.615 -0.016 0.911

Calculated formation energy (no corrections), 0.0382, -2.2891, -2.2712, -1.0983, -1.8698, -3.1319 eV per atom (same order as the records).